# Ce4Bi2SbPb GGA-PBE relaxed
data_Ce4Bi2SbPb
_chemical_formula_sum 'Ce4 Bi2 Sb1 Pb1'
_cell_length_a 7.9052
_cell_length_b 4.5636
_cell_length_c 7.9053
_cell_angle_alpha 90.00
_cell_angle_beta 109.45
_cell_angle_gamma 90.00
_space_group_name_H-M_alt 'P 1 2/m 1'
_space_group_IT_number 10
_space_group_name_Hall '-P 2y'
loop_
_atom_site_label
_atom_site_type_symbol
_atom_site_fract_x
_atom_site_fract_y
_atom_site_fract_z
Ce1 Ce 0.2469 0.0000 0.2445
Ce2 Ce 0.2503 0.5000 0.7545
Bi1 Bi 0.0000 0.0000 0.5000
Bi2 Bi 0.5000 0.5000 0.5000
Sb1 Sb 0.0000 0.5000 0.0000
Pb1 Pb 0.5000 0.0000 0.0000
# Volume   268.9 Å³/cell
# E_form (uncorrected)   -5.86 eV per formula unit
# ρ   8.1 Mg/m³

---

# Ce4BiSb2Pb GGA-PBE relaxed
data_Ce4BiSb2Pb
_chemical_formula_sum 'Ce4 Bi1 Sb2 Pb1'
_cell_length_a 7.8592
_cell_length_b 4.5359
_cell_length_c 7.8646
_cell_angle_alpha 90.00
_cell_angle_beta 109.43
_cell_angle_gamma 90.00
_space_group_name_H-M_alt 'P 1 2/m 1'
_space_group_IT_number 10
_space_group_name_Hall '-P 2y'
loop_
_atom_site_label
_atom_site_type_symbol
_atom_site_fract_x
_atom_site_fract_y
_atom_site_fract_z
Ce1 Ce 0.2469 0.0000 0.2446
Ce2 Ce 0.2503 0.5000 0.7544
Bi1 Bi 0.5000 0.5000 0.5000
Sb1 Sb 0.0000 0.5000 0.0000
Sb2 Sb 0.5000 0.0000 0.0000
Pb1 Pb 0.0000 0.0000 0.5000
# Volume   264.4 Å³/cell
# E_form (uncorrected)   -6.35 eV per formula unit
# ρ   7.7 Mg/m³

---

# CeScBiPb GGA-PBE relaxed
data_CeScBiPb
_chemical_formula_sum 'Ce4 Sc4 Bi4 Pb4'
_cell_length_a 7.6390
_cell_length_b 7.6390
_cell_length_c 7.6390
_cell_angle_alpha 90.00
_cell_angle_beta 90.00
_cell_angle_gamma 90.00
_space_group_name_H-M_alt 'F -4 3 m'
_space_group_IT_number 216
_space_group_name_Hall 'F -4 2 3'
loop_
_atom_site_label
_atom_site_type_symbol
_atom_site_fract_x
_atom_site_fract_y
_atom_site_fract_z
Ce1 Ce 0.0000 0.0000 0.0000
Sc1 Sc 0.0000 0.0000 0.5000
Bi1 Bi 0.2500 0.2500 0.2500
Pb1 Pb 0.2500 0.2500 0.7500
# Volume   445.8 Å³/cell
# ρ   9.0 Mg/m³
# Energy of formation   -392 meV per atom